one:
OsPt2W | PBE | optimized geometry

Results
**Magnetization**: 0.00 μB per formula unit
**SG**: R-3m (166)
**Density of states at the Fermi level**: 2.69 states/eV per cell
**Density**: 20.76 Mg/m³

Lattice parameters (Å, degrees): 9.3428 9.3428 9.3428 17.04 17.04 17.04
Fractional positions:
Os (0.7500, 0.7500, 0.7500)
Pt (0.9997, 0.9997, 0.9997)
Pt (0.5003, 0.5003, 0.5003)
W (0.2500, 0.2500, 0.2500)

---

two:
OsPt2W | PBE | optimized geometry

Results
**Magnetization**: 0.00 μB per formula unit
**SG**: Fm-3m (225)
**Density of states at the Fermi level**: 5.96 states/eV per cell
**Density**: 20.26 Mg/m³

Lattice parameters (Å, degrees): 4.4580 4.4580 4.4580 60.00 60.00 60.00
Fractional positions:
Os (0.5000, 0.5000, 0.5000)
W (0.0000, 0.0000, 0.0000)
Pt (0.2500, 0.2500, 0.2500)
Pt (0.7500, 0.7500, 0.7500)

---

one takes first place; second place is 34.1 kJ/mol of atoms up.

---

one:
OsPt2W | PBE | optimized geometry

Results
**Magnetization**: 0.00 μB per formula unit
**SG**: I-42d (122)
**Density of states at the Fermi level**: 8.86 states/eV per cell
**Density**: 13.99 Mg/m³

Lattice parameters (Å, degrees): 5.6387 5.6387 6.9620 66.11 66.11 90.00
Fractional positions:
Os (0.0000, 0.0000, 0.0000)
Os (0.7500, 0.2500, 0.5000)
W (0.5000, 0.5000, 0.0000)
W (0.2500, 0.7500, 0.5000)
Pt (0.6305, 0.1250, 0.2500)
Pt (0.1195, 0.6250, 0.2500)
Pt (0.3750, 0.3695, 0.7500)
Pt (0.8750, 0.8805, 0.7500)

---

two:
OsPt2W | PBE | optimized geometry

Results
**Magnetization**: 0.00 μB per formula unit
**SG**: P4mm (99)
**Density of states at the Fermi level**: 4.28 states/eV per cell
**Density**: 20.57 Mg/m³

Lattice parameters (Å, degrees): 2.7906 2.7906 7.9240 90.00 90.00 90.00
Fractional positions:
Os (0.5000, 0.5000, 0.7417)
Pt (0.0000, 0.0000, 0.9911)
Pt (0.5000, 0.5000, 0.2601)
W (0.0000, 0.0000, 0.5072)

---

two takes first place; second place is 115.1 kJ/mol of atoms up.

---

one:
OsPt2W | PBE | optimized geometry

Results
**Magnetization**: 0.38 μB per formula unit
**SG**: P4/mmm (123)
**Density of states at the Fermi level**: 4.73 states/eV per cell
**Density**: 20.21 Mg/m³

Lattice parameters (Å, degrees): 3.4124 3.4124 5.3924 90.00 90.00 90.00
Fractional positions:
Os (0.5000, 0.5000, 0.7500)
Pt (0.0000, 0.0000, 0.9982)
Pt (0.0000, 0.0000, 0.5018)
W (0.5000, 0.5000, 0.2500)

---

two:
OsPt2W | PBE | optimized geometry

Results
**Magnetization**: 0.00 μB per formula unit
**SG**: F-43m (216)
**Density of states at the Fermi level**: 2.75 states/eV per cell
**Density**: 20.29 Mg/m³

Lattice parameters (Å, degrees): 4.4552 4.4552 4.4552 60.00 60.00 60.00
Fractional positions:
Os (0.5000, 0.5000, 0.5000)
Pt (0.0000, 0.0000, 0.0000)
Pt (0.2500, 0.2500, 0.2500)
W (0.7500, 0.7500, 0.7500)

---

three:
OsPt2W | PBE | optimized geometry

Results
**Magnetization**: 0.00 μB per formula unit
**SG**: P4/mmm (123)
**Density of states at the Fermi level**: 5.53 states/eV per cell
**Density**: 20.77 Mg/m³

Lattice parameters (Å, degrees): 2.7401 2.7401 8.1386 90.00 90.00 90.00
Fractional positions:
Os (0.5000, 0.5000, 0.7500)
Pt (0.0000, 0.0000, 0.9984)
Pt (0.0000, 0.0000, 0.5016)
W (0.5000, 0.5000, 0.2500)

---

four:
OsPt2W | PBE | optimized geometry

Results
**Magnetization**: 0.00 μB per formula unit
**SG**: C2/m (12)
**Density of states at the Fermi level**: 3.65 states/eV per cell
**Density**: 20.75 Mg/m³

Lattice parameters (Å, degrees): 4.8434 4.8434 4.8215 80.37 80.37 33.30
Fractional positions:
Os (0.2500, 0.2500, 0.2500)
Pt (0.9986, 0.9986, 0.0013)
Pt (0.5014, 0.5014, 0.4987)
W (0.7500, 0.7500, 0.7500)

---

four takes first place; second place is 6.2 kJ/mol of atoms up.

---

one:
OsPt2W | PBE | optimized geometry

Results
**Magnetization**: 0.00 μB per formula unit
**SG**: Pmm2 (25)
**Density of states at the Fermi level**: 3.83 states/eV per cell
**Density**: 20.72 Mg/m³

Lattice parameters (Å, degrees): 2.7520 3.9642 5.6153 90.00 90.00 90.00
Fractional positions:
Os (0.5000, 0.5000, 0.7434)
Pt (0.0000, 0.0000, 0.9940)
Pt (0.5000, 0.5000, 0.2535)
W (0.0000, 0.0000, 0.5091)

---

two:
OsPt2W | PBE | optimized geometry

Results
**Magnetization**: 0.00 μB per formula unit
**SG**: Cmmm (65)
**Density of states at the Fermi level**: 4.40 states/eV per cell
**Density**: 20.77 Mg/m³

Lattice parameters (Å, degrees): 4.8764 4.8764 2.7742 90.00 90.00 112.13
Fractional positions:
Os (0.0000, 0.5000, 0.5000)
Pt (0.0000, 0.0000, 0.0000)
Pt (0.5000, 0.5000, 0.0000)
W (0.5000, 0.0000, 0.5000)

---

one takes first place; second place is 11.4 kJ/mol of atoms up.

---

one:
OsPtW2 | PBE | optimized geometry

Results
**Magnetization**: 0.00 μB per formula unit
**SG**: F-43m (216)
**Density of states at the Fermi level**: 4.45 states/eV per cell
**Density**: 19.92 Mg/m³

Lattice parameters (Å, degrees): 4.4605 4.4605 4.4605 60.00 60.00 60.00
Fractional positions:
Os (0.5000, 0.5000, 0.5000)
Pt (0.7500, 0.7500, 0.7500)
W (0.0000, 0.0000, 0.0000)
W (0.2500, 0.2500, 0.2500)

---

two:
OsPtW2 | PBE | optimized geometry

Results
**Magnetization**: 0.00 μB per formula unit
**SG**: R-3m (166)
**Density of states at the Fermi level**: 2.36 states/eV per cell
**Density**: 20.16 Mg/m³

Lattice parameters (Å, degrees): 9.3862 9.3862 9.3862 17.05 17.05 17.05
Fractional positions:
Os (0.7500, 0.7500, 0.7500)
Pt (0.2500, 0.2500, 0.2500)
W (0.0013, 0.0013, 0.0013)
W (0.4987, 0.4987, 0.4987)

---

three:
OsPtW2 | PBE | optimized geometry

Results
**Magnetization**: 0.00 μB per formula unit
**SG**: Pmm2 (25)
**Density of states at the Fermi level**: 2.97 states/eV per cell
**Density**: 20.32 Mg/m³

Lattice parameters (Å, degrees): 4.5009 2.8074 4.8701 90.00 90.00 90.00
Fractional positions:
Os (0.0000, 0.6250, 0.4480)
W (0.0000, 0.1250, 0.9547)
W (0.5000, 0.1250, 0.2979)
Pt (0.5000, 0.6250, 0.7994)

---

three takes first place; second place is 11.0 kJ/mol of atoms up.

---

one:
Os2PtW | PBE | optimized geometry

Results
**Magnetization**: 0.00 μB per formula unit
**SG**: Pmm2 (25)
**Density of states at the Fermi level**: 2.93 states/eV per cell
**Density**: 20.90 Mg/m³

Lattice parameters (Å, degrees): 3.9383 2.7565 6.2039 63.61 90.00 90.00
Fractional positions:
Os (0.0000, 0.9870, 0.0125)
Os (0.5000, 0.2727, 0.2270)
Pt (0.0000, 0.4995, 0.5004)
W (0.5000, 0.7407, 0.7600)

---

two:
Os2PtW | PBE | optimized geometry

Results
**Magnetization**: 0.00 μB per formula unit
**SG**: C2/m (12)
**Density of states at the Fermi level**: 2.68 states/eV per cell
**Density**: 20.91 Mg/m³

Lattice parameters (Å, degrees): 4.7951 4.7951 4.8268 80.08 80.08 33.53
Fractional positions:
Os (0.0066, 0.0066, 0.9875)
Os (0.4934, 0.4934, 0.5125)
Pt (0.2500, 0.2500, 0.2500)
W (0.7500, 0.7500, 0.7500)

---

three:
Os2PtW | PBE | optimized geometry

Results
**Magnetization**: 0.00 μB per formula unit
**SG**: I-42d (122)
**Density of states at the Fermi level**: 4.55 states/eV per cell
**Density**: 13.94 Mg/m³

Lattice parameters (Å, degrees): 5.7318 5.7318 6.8381 65.22 65.22 90.00
Fractional positions:
Os (0.6257, 0.1250, 0.2500)
Os (0.1243, 0.6250, 0.2500)
Os (0.3750, 0.3743, 0.7500)
Os (0.8750, 0.8757, 0.7500)
W (0.5000, 0.5000, 0.0000)
W (0.2500, 0.7500, 0.5000)
Pt (0.0000, 0.0000, 0.0000)
Pt (0.7500, 0.2500, 0.5000)

---

one takes first place; second place is 4.3 kJ/mol of atoms up.